A plane-wave DFT calculation with GGA-PBE was carried out for crystalline Mg2CrMo at its relaxed geometry.

ΔH_f (0 K) ... 470 meV/atom
Energy relative to the lowest polymorph listed for this composition ... 244.3 meV/atom

```
data_Mg2CrMo
_space_group_name_H-M_alt 'P 1 2/m 1'
_space_group_IT_number 10
_cell_length_a 2.681
_cell_length_b 4.664
_cell_length_c 5.317
_cell_angle_alpha 90.00
_cell_angle_beta 103.44
_cell_angle_gamma 90.00
loop_
_space_group_symop_operation_xyz
'x,y,z'
'-x,-y,-z'
'-x,y,-z'
'x,-y,z'
loop_
_atom_site_label
_atom_site_fract_x
_atom_site_fract_y
_atom_site_fract_z
_atom_site_occupancy
Mg1 0.041 0.000 0.254 1
Cr1 0.500 0.500 0.500 1
Mo1 0.500 0.500 0.000 1
```